1.
Density functional theory data (GGA-PBE) for a relaxed SnRhS2N crystal. Values from VASP.

Cell and atoms, written as Quantum ESPRESSO input:
```
&SYSTEM
  ibrav = 0, nat = 5, ntyp = 4
/
ATOMIC_SPECIES
Sn 118.71 Sn.upf
Rh 102.91 Rh.upf
S 32.06 S.upf
N 14.01 N.upf
CELL_PARAMETERS angstrom
4.959 0.000 0.000
0.000 4.959 0.000
0.000 0.000 3.678
ATOMIC_POSITIONS angstrom
Sn 0.000 0.000 0.000
Rh 2.479 2.479 1.839
S 0.000 2.479 1.839
S 2.479 0.000 1.839
N 2.479 2.479 0.000
```

Calculated values
VASP energy in eV/cell: -26.69
DOS at the Fermi energy in states/eV per cell: 1.95
Formation energy without anion corrections in eV/atom: 0.249

=====

2.
Density functional theory data (GGA-PBE) for a relaxed SnRhSN2 crystal. Values from VASP.

Cell and atoms, written as Quantum ESPRESSO input:
```
&SYSTEM
  ibrav = 0, nat = 5, ntyp = 4
/
ATOMIC_SPECIES
Sn 118.71 Sn.upf
Rh 102.91 Rh.upf
S 32.06 S.upf
N 14.01 N.upf
CELL_PARAMETERS angstrom
4.025 0.000 0.000
0.000 4.025 0.000
0.000 0.000 5.323
ATOMIC_POSITIONS angstrom
Sn 0.000 0.000 0.000
Rh 2.013 2.013 2.661
S 0.000 0.000 2.661
N 0.000 2.013 0.000
N 2.013 0.000 0.000
```

Calculated values
VASP energy in eV/cell: -24.22
DOS at the Fermi energy in states/eV per cell: 4.81
Formation energy without anion corrections in eV/atom: 1.583

=====

3.
Density functional theory data (GGA-PBE) for a relaxed SnRhSN2 crystal. Values from VASP.

Cell and atoms, written as Quantum ESPRESSO input:
```
&SYSTEM
  ibrav = 0, nat = 5, ntyp = 4
/
ATOMIC_SPECIES
Sn 118.71 Sn.upf
Rh 102.91 Rh.upf
S 32.06 S.upf
N 14.01 N.upf
CELL_PARAMETERS angstrom
3.918 0.000 0.000
0.000 3.918 0.000
0.000 0.000 5.068
ATOMIC_POSITIONS angstrom
Sn 0.000 0.000 0.000
Rh 1.959 1.959 2.534
S 1.959 1.959 0.000
N 0.000 1.959 2.534
N 1.959 0.000 2.534
```

Calculated values
VASP energy in eV/cell: -27.80
DOS at the Fermi energy in states/eV per cell: 2.94
Formation energy without anion corrections in eV/atom: 0.867

=====

4.
Density functional theory data (GGA-PBE) for a relaxed SnRhS2N crystal. Values from VASP.

Cell and atoms, written as Quantum ESPRESSO input:
```
&SYSTEM
  ibrav = 0, nat = 5, ntyp = 4
/
ATOMIC_SPECIES
Sn 118.71 Sn.upf
Rh 102.91 Rh.upf
S 32.06 S.upf
N 14.01 N.upf
CELL_PARAMETERS angstrom
5.027 0.000 0.000
0.000 5.027 0.000
0.000 0.000 3.987
ATOMIC_POSITIONS angstrom
Sn 0.000 0.000 0.000
Rh 2.513 2.513 1.994
S 0.000 2.513 0.000
S 2.513 0.000 0.000
N 0.000 0.000 1.994
```

Calculated values
VASP energy in eV/cell: -21.76
DOS at the Fermi energy in states/eV per cell: 7.28
Formation energy without anion corrections in eV/atom: 1.235

=====

5.
Density functional theory data (GGA-PBE) for a relaxed SrRhSN2 crystal. Values from VASP.

Cell and atoms, written as Quantum ESPRESSO input:
```
&SYSTEM
  ibrav = 0, nat = 5, ntyp = 4
/
ATOMIC_SPECIES
Sr 87.62 Sr.upf
Rh 102.91 Rh.upf
S 32.06 S.upf
N 14.01 N.upf
CELL_PARAMETERS angstrom
4.736 0.000 0.000
0.000 4.736 0.000
0.000 0.000 5.809
ATOMIC_POSITIONS angstrom
Sr 0.000 0.000 0.000
Rh 2.368 2.368 2.905
S 0.000 0.000 2.905
N 0.000 2.368 0.000
N 2.368 0.000 0.000
```

Calculated values
VASP energy in eV/cell: -19.84
DOS at the Fermi energy in states/eV per cell: 7.59
Formation energy without anion corrections in eV/atom: 1.994

=====

6.
Density functional theory data (GGA-PBE) for a relaxed SrRhS2N crystal. Values from VASP.

Cell and atoms, written as Quantum ESPRESSO input:
```
&SYSTEM
  ibrav = 0, nat = 5, ntyp = 4
/
ATOMIC_SPECIES
Sr 87.62 Sr.upf
Rh 102.91 Rh.upf
S 32.06 S.upf
N 14.01 N.upf
CELL_PARAMETERS angstrom
5.040 0.000 0.000
0.000 5.040 0.000
0.000 0.000 3.713
ATOMIC_POSITIONS angstrom
Sr 0.000 0.000 0.000
Rh 2.520 2.520 1.857
S 0.000 2.520 1.857
S 2.520 0.000 1.857
N 2.520 2.520 0.000
```

Calculated values
VASP energy in eV/cell: -27.98
DOS at the Fermi energy in states/eV per cell: 1.99
Formation energy without anion corrections in eV/atom: -0.474

=====

7.
Density functional theory data (GGA-PBE) for a relaxed SrRhS2N crystal. Values from VASP.

Cell and atoms, written as Quantum ESPRESSO input:
```
&SYSTEM
  ibrav = 0, nat = 5, ntyp = 4
/
ATOMIC_SPECIES
Sr 87.62 Sr.upf
Rh 102.91 Rh.upf
S 32.06 S.upf
N 14.01 N.upf
CELL_PARAMETERS angstrom
5.445 0.000 0.000
0.000 5.445 0.000
0.000 0.000 4.407
ATOMIC_POSITIONS angstrom
Sr 0.000 0.000 0.000
Rh 2.722 2.722 2.204
S 0.000 2.722 0.000
S 2.722 0.000 0.000
N 0.000 0.000 2.204
```

Calculated values
VASP energy in eV/cell: -17.67
DOS at the Fermi energy in states/eV per cell: 11.54
Formation energy without anion corrections in eV/atom: 1.589

=====

8.
Density functional theory data (GGA-PBE) for a relaxed Sr2RhSN crystal. Values from VASP.

Cell and atoms, written as Quantum ESPRESSO input:
```
&SYSTEM
  ibrav = 0, nat = 5, ntyp = 4
/
ATOMIC_SPECIES
Sr 87.62 Sr.upf
Rh 102.91 Rh.upf
S 32.06 S.upf
N 14.01 N.upf
CELL_PARAMETERS angstrom
5.384 0.000 0.000
0.000 5.384 0.000
0.000 0.000 3.780
ATOMIC_POSITIONS angstrom
Sr 0.000 2.692 0.000
Sr 2.692 0.000 0.000
Rh 0.000 0.000 1.890
S 2.692 2.692 1.890
N 0.000 0.000 0.000
```

Calculated values
VASP energy in eV/cell: -28.21
DOS at the Fermi energy in states/eV per cell: 2.61
Formation energy without anion corrections in eV/atom: -1.009

=====

9.
Density functional theory data (GGA-PBE) for a relaxed SrRhSN2 crystal. Values from VASP.

Cell and atoms, written as Quantum ESPRESSO input:
```
&SYSTEM
  ibrav = 0, nat = 5, ntyp = 4
/
ATOMIC_SPECIES
Sr 87.62 Sr.upf
Rh 102.91 Rh.upf
S 32.06 S.upf
N 14.01 N.upf
CELL_PARAMETERS angstrom
3.976 0.000 0.000
0.000 3.976 0.000
0.000 0.000 5.128
ATOMIC_POSITIONS angstrom
Sr 0.000 0.000 0.000
Rh 1.988 1.988 2.564
S 1.988 1.988 0.000
N 0.000 1.988 2.564
N 1.988 0.000 2.564
```

Calculated values
VASP energy in eV/cell: -29.05
DOS at the Fermi energy in states/eV per cell: 2.86
Formation energy without anion corrections in eV/atom: 0.152

=====

10.
Density functional theory data (GGA-PBE) for a relaxed TaRhS2N crystal. Values from VASP.

Cell and atoms, written as Quantum ESPRESSO input:
```
&SYSTEM
  ibrav = 0, nat = 5, ntyp = 4
/
ATOMIC_SPECIES
Ta 180.95 Ta.upf
Rh 102.91 Rh.upf
S 32.06 S.upf
N 14.01 N.upf
CELL_PARAMETERS angstrom
4.868 0.000 0.000
0.000 4.868 0.000
0.000 0.000 3.893
ATOMIC_POSITIONS angstrom
Ta 0.000 0.000 0.000
Rh 2.434 2.434 1.947
S 0.000 2.434 0.000
S 2.434 0.000 0.000
N 0.000 0.000 1.947
```

Calculated values
VASP energy in eV/cell: -33.98
DOS at the Fermi energy in states/eV per cell: 5.48
Formation energy without anion corrections in eV/atom: 0.361

=====

11.
Density functional theory data (GGA-PBE) for a relaxed TaRhS2N crystal. Values from VASP.

Cell and atoms, written as Quantum ESPRESSO input:
```
&SYSTEM
  ibrav = 0, nat = 5, ntyp = 4
/
ATOMIC_SPECIES
Ta 180.95 Ta.upf
Rh 102.91 Rh.upf
S 32.06 S.upf
N 14.01 N.upf
CELL_PARAMETERS angstrom
4.793 0.000 0.000
0.000 4.793 0.000
0.000 0.000 3.598
ATOMIC_POSITIONS angstrom
Ta 0.000 0.000 0.000
Rh 2.396 2.396 1.799
S 0.000 2.396 1.799
S 2.396 0.000 1.799
N 2.396 2.396 0.000
```

Calculated values
VASP energy in eV/cell: -32.18
DOS at the Fermi energy in states/eV per cell: 4.16
Formation energy without anion corrections in eV/atom: 0.721

=====

12.
Density functional theory data (GGA-PBE) for a relaxed TcRhSN2 crystal. Values from VASP.

Cell and atoms, written as Quantum ESPRESSO input:
```
&SYSTEM
  ibrav = 0, nat = 5, ntyp = 4
/
ATOMIC_SPECIES
Tc 98.00 Tc.upf
Rh 102.91 Rh.upf
S 32.06 S.upf
N 14.01 N.upf
CELL_PARAMETERS angstrom
3.754 0.000 0.000
0.000 3.754 0.000
0.000 0.000 5.103
ATOMIC_POSITIONS angstrom
Tc 0.000 0.000 0.000
Rh 1.877 1.877 2.551
S 0.000 0.000 2.551
N 0.000 1.877 0.000
N 1.877 0.000 0.000
```

Calculated values
VASP energy in eV/cell: -34.36
DOS at the Fermi energy in states/eV per cell: 4.48
Formation energy without anion corrections in eV/atom: 0.828